Entry 1:
TmCo2BC (PBE, relaxed); energy of formation from the pure elements = -1.77 eV/f.u.; total DFT energy (no corrections) = -36.36 eV per formula unit; DOS(E_F) = 6.0 states/eV per cell
1.0
-2.186 -2.476 -1.081
4.600 -2.224 1.381
-2.170 -0.729 6.055
C Co B Tm
2 4 2 2
direct
0.000 0.000 0.000
0.000 0.000 0.500
0.828 0.657 0.061
0.172 0.343 0.939
0.172 0.343 0.561
0.828 0.657 0.439
0.730 0.460 0.750
0.270 0.540 0.250
0.552 0.104 0.250
0.448 0.896 0.750



Entry 2:
VCo2BC (PBE, relaxed); energy of formation from the pure elements = 3.60 eV/f.u.; total DFT energy (no corrections) = -35.63 eV per formula unit; DOS(E_F) = 5.7 states/eV per cell
1.0
-1.847 -1.963 -3.220
0.156 -2.481 1.423
-3.764 0.742 1.707
Co B C V
2 1 1 1
direct
0.000 0.000 0.500
0.500 0.000 0.000
0.000 0.000 0.000
0.000 0.500 0.000
0.500 0.500 0.500



Entry 3:
Y4Co16B3C (PBE, relaxed); energy of formation from the pure elements = -6.12 eV/f.u.; total DFT energy (no corrections) = -174.93 eV per formula unit; DOS(E_F) = 28.2 states/eV per cell
1.0
2.509 -4.346 0.000
2.509 4.346 0.000
0.000 0.000 13.566
Co B Y C
16 3 4 1
direct
0.833 0.667 0.893
0.338 0.169 0.602
0.000 0.000 0.253
0.667 0.333 0.250
0.338 0.169 0.398
0.833 0.167 0.107
0.831 0.169 0.398
0.000 0.000 0.747
0.833 0.667 0.107
0.831 0.662 0.398
0.831 0.662 0.602
0.333 0.167 0.893
0.333 0.167 0.107
0.833 0.167 0.893
0.667 0.333 0.750
0.831 0.169 0.602
0.000 0.000 0.000
0.667 0.333 0.000
0.000 0.000 0.500
0.333 0.667 0.749
0.333 0.667 0.500
0.333 0.667 0.000
0.333 0.667 0.251
0.667 0.333 0.500



Entry 4:
YCo2B2C (PBE, relaxed); energy of formation from the pure elements = -2.65 eV/f.u.; total DFT energy (no corrections) = -45.91 eV per formula unit; DOS(E_F) = 5.1 states/eV per cell
1.0
-1.316 -2.119 -2.510
2.929 0.468 -1.930
1.367 -3.257 4.524
Co B C Y
2 2 1 1
direct
0.250 0.750 0.500
0.750 0.250 0.500
0.854 0.854 0.708
0.146 0.146 0.292
0.000 0.000 0.000
0.500 0.500 0.000



Entry 5:
CrBC2 (PBE, relaxed); energy of formation from the pure elements = 2.48 eV/f.u.; total DFT energy (no corrections) = -32.27 eV per formula unit; DOS(E_F) = 4.0 states/eV per cell
1.0
4.226 0.000 0.000
0.000 4.226 0.000
2.113 2.113 3.883
Cr C B
2 4 2
direct
0.000 0.000 0.000
0.750 0.250 0.500
0.375 0.419 0.750
0.875 0.831 0.750
0.581 0.125 0.250
0.169 0.625 0.250
0.500 0.500 0.000
0.250 0.750 0.500



Entry 6:
Cr46B3C9 (PBE, relaxed); energy of formation from the pure elements = -6.53 eV/f.u.; total DFT energy (no corrections) = -552.25 eV per formula unit; DOS(E_F) = 47.5 states/eV per cell
1.0
-0.750 -7.439 0.255
2.543 -4.200 -5.657
11.433 -4.747 3.799
B C Cr
3 9 46
direct
0.866 0.864 0.865
0.365 0.364 0.363
0.094 0.636 0.636
0.643 0.082 0.639
0.584 0.140 0.140
0.419 0.861 0.862
0.864 0.416 0.862
0.917 0.362 0.361
0.140 0.585 0.139
0.139 0.139 0.139
0.642 0.639 0.639
0.363 0.918 0.361
0.499 0.838 0.500
0.473 0.501 0.500
0.430 0.430 0.189
0.428 0.954 0.191
0.625 0.626 0.126
0.836 0.163 0.500
0.571 0.049 0.810
0.832 0.168 0.168
0.341 0.659 0.000
0.168 0.833 0.168
0.829 0.830 0.170
0.668 0.669 0.331
0.953 0.428 0.191
0.147 0.500 0.500
0.378 0.375 0.876
0.052 0.567 0.811
0.668 0.332 0.669
0.068 0.551 0.309
0.502 0.152 0.502
0.332 0.322 0.673
0.309 0.309 0.073
0.931 0.932 0.689
0.336 0.000 0.000
0.550 0.069 0.310
0.652 0.002 0.003
0.691 0.689 0.930
0.326 0.678 0.327
0.171 0.169 0.830
0.179 0.827 0.827
0.335 0.671 0.671
0.660 0.340 0.000
0.877 0.876 0.375
0.832 0.500 0.500
0.003 0.652 0.003
0.809 0.811 0.571
0.828 0.177 0.828
0.072 0.074 0.309
0.457 0.926 0.691
0.128 0.125 0.625
0.189 0.190 0.429
0.993 0.993 0.993
0.000 0.335 0.001
0.575 0.572 0.810
0.675 0.330 0.329
0.156 0.848 0.497
0.929 0.450 0.691



Entry 7:
CrB2C (PBE, relaxed); energy of formation from the pure elements = 1.89 eV/f.u.; total DFT energy (no corrections) = -30.31 eV per formula unit; DOS(E_F) = 4.6 states/eV per cell
1.0
5.109 0.000 0.000
0.000 5.109 0.000
2.555 2.555 2.290
B Cr C
4 2 2
direct
0.221 0.625 0.250
0.875 0.779 0.750
0.529 0.125 0.250
0.375 0.471 0.750
0.000 0.000 0.000
0.750 0.250 0.500
0.250 0.750 0.500
0.500 0.500 0.000



Entry 8:
CrBC (PBE, relaxed); energy of formation from the pure elements = 0.56 eV/f.u.; total DFT energy (no corrections) = -24.97 eV per formula unit; DOS(E_F) = 1.9 states/eV per cell
1.0
2.932 0.000 0.000
0.000 3.808 0.000
-1.466 0.000 4.639
B Cr C
2 2 2
direct
0.000 0.500 0.000
0.000 0.000 0.000
0.802 0.250 0.604
0.198 0.750 0.396
0.144 0.250 0.289
0.856 0.750 0.711



Entry 9:
CrB3C (PBE, relaxed); energy of formation from the pure elements = 12.47 eV/f.u.; total DFT energy (no corrections) = -26.40 eV per formula unit; polymorph energy (0 for the lowest one) = 446 kJ/mol of formula units; DOS(E_F) = 2.7 states/eV per cell
1.0
3.843 0.000 0.000
0.000 3.843 0.000
0.000 0.000 3.843
C Cr B
1 1 3
direct
0.500 0.500 0.500
0.000 0.000 0.000
0.500 0.000 0.000
0.000 0.500 0.000
0.000 0.000 0.500



Entry 10:
Cr2BC (PBE, relaxed); energy of formation from the pure elements = 1.46 eV/f.u.; total DFT energy (no corrections) = -33.69 eV per formula unit; polymorph energy (0 for the lowest one) = 0 kJ/mol of formula units; DOS(E_F) = 7.3 states/eV per cell
1.0
-1.170 3.895 3.375
3.349 -2.056 3.533
3.040 2.374 2.452
C B Cr
2 2 4
direct
0.750 0.250 0.500
0.000 0.000 0.000
0.500 0.500 0.000
0.250 0.750 0.500
0.875 0.897 0.750
0.103 0.625 0.250
0.647 0.125 0.250
0.375 0.353 0.750



Entry 11:
Cr3BC (PBE, relaxed); energy of formation from the pure elements = 0.30 eV/f.u.; total DFT energy (no corrections) = -44.47 eV per formula unit; polymorph energy (0 for the lowest one) = 0 kJ/mol of formula units; DOS(E_F) = 7.0 states/eV per cell
1.0
3.845 0.000 0.000
1.922 4.032 0.138
1.922 1.032 6.044
Cr C B
6 2 2
direct
0.851 0.043 0.256
0.380 0.317 0.923
0.139 0.369 0.353
0.149 0.957 0.744
0.861 0.631 0.647
0.620 0.683 0.077
0.885 0.299 0.932
0.115 0.701 0.068
0.585 0.258 0.571
0.415 0.742 0.429



Entry 12:
Cr6BC3 (PBE, relaxed); energy of formation from the pure elements = -1.72 eV/f.u.; total DFT energy (no corrections) = -93.81 eV per formula unit; DOS(E_F) = 6.2 states/eV per cell
1.0
-4.165 -0.274 2.426
2.899 -2.158 -3.200
3.227 -3.324 5.166
Cr C B
6 3 1
direct
0.603 0.397 0.000
0.855 0.145 0.815
0.137 0.863 0.318
0.137 0.863 0.682
0.415 0.585 0.500
0.855 0.145 0.185
0.498 0.502 0.243
0.247 0.753 0.000
0.498 0.502 0.757
0.756 0.244 0.500



Entry 13:
CrB3C (PBE, relaxed); energy of formation from the pure elements = 7.86 eV/f.u.; total DFT energy (no corrections) = -31.02 eV per formula unit; polymorph energy (0 for the lowest one) = 0 kJ/mol of formula units; DOS(E_F) = 2.5 states/eV per cell
1.0
-1.045 -2.625 -1.874
3.225 -0.853 -0.604
-0.004 -1.969 2.760
Cr B C
1 3 1
direct
0.500 0.500 0.500
0.000 0.000 0.500
0.500 0.000 0.000
0.000 0.500 0.000
0.000 0.000 0.000



Entry 14:
Cr3BC (PBE, relaxed); energy of formation from the pure elements = 2.19 eV/f.u.; total DFT energy (no corrections) = -42.58 eV per formula unit; polymorph energy (0 for the lowest one) = 183 kJ/mol of formula units; DOS(E_F) = 5.5 states/eV per cell
1.0
3.729 0.000 0.000
0.000 3.729 0.000
0.000 0.000 3.729
Cr C B
3 1 1
direct
0.000 0.500 0.000
0.500 0.000 0.000
0.000 0.000 0.500
0.000 0.000 0.000
0.500 0.500 0.500



Entry 15:
Cr2BC (PBE, relaxed); energy of formation from the pure elements = 2.02 eV/f.u.; total DFT energy (no corrections) = -33.12 eV per formula unit; polymorph energy (0 for the lowest one) = 55 kJ/mol of formula units; DOS(E_F) = 2.1 states/eV per cell
1.0
0.000 2.554 2.554
2.554 0.000 2.554
2.554 2.554 0.000
Cr B C
2 1 1
direct
0.750 0.750 0.750
0.250 0.250 0.250
0.000 0.000 0.000
0.500 0.500 0.500



Entry 16:
CrBC3 (PBE, relaxed); energy of formation from the pure elements = 11.11 eV/f.u.; total DFT energy (no corrections) = -32.87 eV per formula unit; polymorph energy (0 for the lowest one) = 0 kJ/mol of formula units; DOS(E_F) = 4.5 states/eV per cell
1.0
-0.246 -0.026 3.371
2.452 -2.322 0.160
2.314 2.457 0.188
B C Cr
1 3 1
direct
0.000 0.000 0.000
0.000 0.000 0.500
0.500 0.000 0.000
0.000 0.500 0.000
0.500 0.500 0.500



Entry 17:
CrBC3 (PBE, relaxed); energy of formation from the pure elements = 12.77 eV/f.u.; total DFT energy (no corrections) = -31.20 eV per formula unit; polymorph energy (0 for the lowest one) = 161 kJ/mol of formula units; DOS(E_F) = 2.4 states/eV per cell
1.0
-2.889 -2.263 -0.969
1.401 -2.739 2.222
-2.024 1.334 2.920
C B Cr
3 1 1
direct
0.000 0.000 0.500
0.500 0.000 0.000
0.000 0.500 0.000
0.500 0.500 0.500
0.000 0.000 0.000



Entry 18:
Cr2BPdC (PBE, relaxed); energy of formation from the pure elements = 10.48 eV/f.u.; total DFT energy (no corrections) = -29.86 eV per formula unit; DOS(E_F) = 6.9 states/eV per cell
1.0
-0.024 1.717 -4.657
-2.697 -2.446 -0.888
-3.446 3.345 1.251
C Cr B Pd
1 2 1 1
direct
0.000 0.500 0.000
0.000 0.000 0.500
0.500 0.000 0.000
0.500 0.500 0.500
0.000 0.000 0.000



Entry 19:
SrCrB2C (PBE, relaxed); energy of formation from the pure elements = 2.76 eV/f.u.; total DFT energy (no corrections) = -31.12 eV per formula unit; DOS(E_F) = 1.7 states/eV per cell
1.0
-2.406 2.198 -2.421
-3.144 -1.247 1.991
0.345 3.160 2.525
B Cr Sr C
2 1 1 1
direct
0.500 0.000 0.000
0.000 0.000 0.500
0.000 0.000 0.000
0.500 0.500 0.500
0.000 0.500 0.000



Entry 20:
YCrB2C (PBE, relaxed); energy of formation from the pure elements = 6.99 eV/f.u.; total DFT energy (no corrections) = -31.68 eV per formula unit; DOS(E_F) = 2.9 states/eV per cell
1.0
-3.287 0.408 1.729
-1.963 -2.498 -3.141
0.680 -3.071 2.017
B C Y Cr
2 1 1 1
direct
0.500 0.000 0.000
0.000 0.000 0.500
0.000 0.000 0.000
0.000 0.500 0.000
0.500 0.500 0.500



Entry 21:
ZrCr2BC (PBE, relaxed); energy of formation from the pure elements = -2.31 eV/f.u.; total DFT energy (no corrections) = -46.00 eV per formula unit; DOS(E_F) = 5.5 states/eV per cell
1.0
3.263 0.000 0.000
-1.631 5.146 0.000
0.000 0.000 6.748
Cr C Zr B
4 2 2 2
direct
0.821 0.643 0.434
0.821 0.643 0.066
0.179 0.357 0.934
0.179 0.357 0.566
0.000 0.000 0.000
0.000 0.000 0.500
0.459 0.917 0.750
0.541 0.083 0.250
0.746 0.491 0.750
0.254 0.509 0.250



Entry 22:
CsBC3 (PBE, relaxed); energy of formation from the pure elements = 25.26 eV/f.u.; total DFT energy (no corrections) = -9.94 eV per formula unit; polymorph energy (0 for the lowest one) = 964 kJ/mol of formula units; DOS(E_F) = 4.1 states/eV per cell
1.0
4.681 0.000 0.000
0.000 4.681 0.000
0.000 0.000 4.681
B C Cs
1 3 1
direct
0.500 0.500 0.500
0.000 0.500 0.000
0.000 0.000 0.500
0.500 0.000 0.000
0.000 0.000 0.000



Entry 23:
CsBC (PBE, relaxed); energy of formation from the pure elements = 1.10 eV/f.u.; total DFT energy (no corrections) = -15.65 eV per formula unit; DOS(E_F) = 0.7 states/eV per cell
1.0
-1.037 -1.403 -6.344
-0.668 -5.650 -0.776
-3.921 -0.711 0.985
C B Cs
2 2 2
direct
0.006 0.640 0.806
0.111 0.524 0.165
0.098 0.518 0.530
0.239 0.390 0.922
0.435 0.863 0.622
0.846 0.140 0.103